No. 1
Below is a relaxed structure of YNb2CN, with properties calculated at the PBE level.

Uncorrected energy ... -8.43 eV/atom

Cell and atoms, written as POSCAR:
```
YNb2CN
1.0
4.103 0.000 0.000
0.000 4.103 0.000
0.000 0.000 4.814
Y Nb C N
1 2 1 1
Cartesian
0.000 0.000 0.000 Y
0.000 2.051 2.407 Nb
2.051 0.000 2.407 Nb
2.051 2.051 0.000 C
0.000 0.000 2.407 N
```

No. 2
Below is a relaxed structure of Er4Te2IrS, with properties calculated at the PBE level.

Uncorrected energy ... -6.03 eV/atom

Cell and atoms, written as POSCAR:
```
Er4Te2IrS
1.0
7.271 0.000 0.000
0.000 4.066 0.000
-2.326 0.000 7.006
Er Te Ir S
4 2 1 1
Cartesian
1.156 0.000 1.425 Er
0.015 2.033 5.537 Er
4.930 2.033 1.469 Er
3.789 0.000 5.582 Er
-1.163 0.000 3.503 Te
2.472 2.033 3.503 Te
0.000 2.033 0.000 Ir
3.635 0.000 0.000 S
```

No. 3
Below is a relaxed structure of Li2Ca2PrPb2, with properties calculated at the PBE level.

E_form ... -0.418 eV/atom

Cell and atoms, written as POSCAR:
```
Li2Ca2PrPb2
1.0
2.475 1.429 9.360
-2.475 1.429 9.360
0.000 -2.857 9.360
Li Ca Pr Pb
2 2 1 2
Cartesian
0.000 0.000 2.732 Li
0.000 0.000 25.348 Li
0.000 0.000 10.411 Ca
0.000 0.000 17.670 Ca
0.000 0.000 14.040 Pr
0.000 0.000 6.670 Pb
0.000 0.000 21.411 Pb
```